# 1
MnTcBr3 (PBE, optimized geometry); Fermi-level density of states = 4.51 states/eV/cell; E_form (uncorrected) = 43.57 kJ per mole of atoms; offset from the most stable computed form = 0.000 eV/atom; space-group type = Pm-3m, No. 221; magnetic moment = 8.9 μB/f.u.; mass density = 4.545 Mg/m³
1.0
-3.940 -0.283 -3.435
-0.866 -4.968 1.403
-3.336 1.625 3.693
Br Mn Tc
3 1 1
Direct
0.500 0.000 0.000
0.000 0.500 0.000
0.000 0.000 0.500
0.500 0.500 0.500
0.000 0.000 0.000

# 2
Mn2TcBr (PBE, optimized geometry); Fermi-level density of states = 4.12 states/eV/cell; E_form (uncorrected) = 85.62 kJ per mole of atoms; offset from the most stable computed form = 0.589 eV/atom; space-group type = I4/mmm, No. 139; magnetic moment = 6.4 μB/f.u.; mass density = 7.547 Mg/m³
1.0
-4.665 0.044 1.206
-2.135 -3.587 -2.406
3.944 -0.006 2.768
Mn Tc Br
2 1 1
Direct
0.500 0.500 0.000
0.000 0.000 0.000
0.250 0.750 0.500
0.750 0.250 0.500

# 3
Mn2TcBr (PBE, optimized geometry); Fermi-level density of states = 6.75 states/eV/cell; E_form (uncorrected) = 103.58 kJ per mole of atoms; offset from the most stable computed form = 0.775 eV/atom; space-group type = I-42d, No. 122; magnetic moment = 0.0 μB/f.u.; mass density = 6.364 Mg/m³
1.0
-2.502 1.289 -4.661
-0.270 -5.277 -1.314
-5.877 -2.341 -0.673
Br Mn Tc
2 4 2
Direct
0.250 0.750 0.500
0.500 0.500 0.000
0.114 0.625 0.250
0.636 0.125 0.250
0.875 0.886 0.750
0.375 0.364 0.750
0.750 0.250 0.500
0.000 0.000 0.000

# 4
MnTc4Br (PBE, optimized geometry); Fermi-level density of states = 6.26 states/eV/cell; E_form (uncorrected) = 85.86 kJ per mole of atoms; space-group type = F-43m, No. 216; magnetic moment = 4.0 μB/f.u.; mass density = 8.787 Mg/m³
1.0
0.000 3.679 3.679
3.679 0.000 3.679
3.679 3.679 0.000
Tc Mn Br
4 1 1
Direct
0.625 0.625 0.625
0.625 0.625 0.126
0.126 0.625 0.625
0.625 0.126 0.625
0.000 0.000 0.000
0.250 0.250 0.250

# 5
Mn2TcBr (PBE, optimized geometry); Fermi-level density of states = 5.12 states/eV/cell; E_form (uncorrected) = 76.84 kJ per mole of atoms; offset from the most stable computed form = 0.498 eV/atom; space-group type = Pmmm, No. 47; magnetic moment = 5.6 μB/f.u.; mass density = 7.825 Mg/m³
1.0
3.019 0.000 0.000
0.000 4.604 0.000
0.000 0.000 4.394
Br Tc Mn
1 1 2
Direct
0.000 0.500 0.500
0.500 0.000 0.500
0.000 0.000 0.000
0.500 0.500 0.000

# 6
MnTcBr (PBE, optimized geometry); Fermi-level density of states = 2.05 states/eV/cell; E_form (uncorrected) = 43.34 kJ per mole of atoms; offset from the most stable computed form = 0.000 eV/atom; space-group type = P3m1, No. 156; magnetic moment = 2.6 μB/f.u.; mass density = 7.636 Mg/m³
1.0
-2.018 -1.279 -1.981
2.402 -1.659 1.056
-3.372 -1.911 4.669
Tc Mn Br
1 1 1
Direct
0.333 0.667 0.635
0.667 0.333 0.347
0.000 0.000 0.019

# 7
Mn2TcBr (PBE, optimized geometry); Fermi-level density of states = 3.07 states/eV/cell; E_form (uncorrected) = 59.82 kJ per mole of atoms; offset from the most stable computed form = 0.321 eV/atom; space-group type = Pm, No. 6; magnetic moment = 7.5 μB/f.u.; mass density = 7.216 Mg/m³
1.0
-1.808 -3.975 0.630
1.542 -1.082 -2.398
4.028 -1.434 2.505
Br Mn Tc
1 2 1
Direct
0.500 0.572 0.765
0.000 0.065 0.978
0.500 0.227 0.307
0.000 0.636 0.449

# 8
Mn2TcBr (PBE, optimized geometry); Fermi-level density of states = 3.86 states/eV/cell; E_form (uncorrected) = 52.33 kJ per mole of atoms; offset from the most stable computed form = 0.244 eV/atom; space-group type = R3m, No. 160; magnetic moment = 4.7 μB/f.u.; mass density = 7.658 Mg/m³
1.0
8.347 -0.053 -0.031
7.837 2.873 -0.031
7.837 1.366 2.528
Mn Br Tc
2 1 1
Direct
0.249 0.249 0.249
0.997 0.997 0.997
0.745 0.745 0.745
0.509 0.509 0.509

# 9
Mn2TcBr (PBE, optimized geometry); Fermi-level density of states = 2.97 states/eV/cell; E_form (uncorrected) = 42.64 kJ per mole of atoms; offset from the most stable computed form = 0.143 eV/atom; space-group type = P4mm, No. 99; magnetic moment = 4.9 μB/f.u.; mass density = 7.453 Mg/m³
1.0
-0.720 -0.082 2.962
-0.732 -2.949 -0.259
6.492 -1.747 1.529
Tc Br Mn
1 1 2
Direct
0.000 0.000 0.440
0.500 0.500 0.767
0.000 0.000 0.031
0.500 0.500 0.262

# 10
Mn2TcBr (PBE, optimized geometry); Fermi-level density of states = 4.35 states/eV/cell; E_form (uncorrected) = 66.70 kJ per mole of atoms; offset from the most stable computed form = 0.393 eV/atom; space-group type = Cmmm, No. 65; magnetic moment = 6.1 μB/f.u.; mass density = 7.701 Mg/m³
1.0
4.685 0.015 0.000
-1.655 4.383 0.000
0.000 0.000 3.019
Mn Tc Br
2 1 1
Direct
0.000 0.000 0.000
0.500 0.500 0.000
0.500 0.000 0.500
0.000 0.500 0.500

# 11
Mn2TcBr (PBE, optimized geometry); Fermi-level density of states = 4.20 states/eV/cell; E_form (uncorrected) = 75.98 kJ per mole of atoms; offset from the most stable computed form = 0.489 eV/atom; space-group type = P2/m, No. 10; magnetic moment = 6.3 μB/f.u.; mass density = 7.767 Mg/m³
1.0
2.994 0.000 0.000
0.000 4.623 0.055
0.000 3.416 4.485
Mn Br Tc
2 1 1
Direct
0.000 0.000 0.000
0.500 0.500 0.000
0.000 0.000 0.500
0.500 0.500 0.500

# 12
Mn2TcBr (PBE, optimized geometry); Fermi-level density of states = 5.15 states/eV/cell; E_form (uncorrected) = 73.34 kJ per mole of atoms; offset from the most stable computed form = 0.461 eV/atom; space-group type = Immm, No. 71; magnetic moment = 5.9 μB/f.u.; mass density = 7.769 Mg/m³
1.0
-5.069 0.830 -0.463
-2.698 -0.765 4.328
3.735 2.732 -2.277
Mn Tc Br
2 1 1
Direct
0.001 0.001 0.000
0.499 0.499 0.000
0.750 0.250 0.500
0.250 0.750 0.500